# Mo3PtSe GGA-PBE relaxed
data_Mo3PtSe
_space_group_name_H-M_alt 'P m -3 m'
_space_group_IT_number 221
_space_group_name_Hall '-P 4 2 3'
_cell_length_a 4.5515
_cell_length_b 4.5515
_cell_length_c 4.5515
_cell_angle_alpha 90.00
_cell_angle_beta 90.00
_cell_angle_gamma 90.00
loop_
_atom_site_label
_atom_site_fract_x
_atom_site_fract_y
_atom_site_fract_z
_atom_site_occupancy
Mo1 0.0000 0.0000 0.5000 1
Pt1 0.5000 0.5000 0.5000 1
Se1 0.0000 0.0000 0.0000 1
# Crystal system   cubic
# Uncorrected energy   -7.262 eV per atom
# Formation energy without anion corrections   1.142 eV/atom
# Distance to the lowest polymorph of the same formula   0.000 eV/atom
# Theoretical density   9.895 g/cm3

***

# Ru2W GGA-PBE relaxed
data_Ru2W
_space_group_name_H-M_alt 'P 63/m m c'
_space_group_IT_number 194
_space_group_name_Hall '-P 6c 2c'
_cell_length_a 5.0865
_cell_length_b 5.0865
_cell_length_c 8.0848
_cell_angle_alpha 90.00
_cell_angle_beta 90.00
_cell_angle_gamma 120.00
loop_
_atom_site_label
_atom_site_fract_x
_atom_site_fract_y
_atom_site_fract_z
_atom_site_occupancy
Ru1 0.0000 0.0000 0.0000 1
Ru2 0.1745 0.3490 0.2500 1
W1 0.3333 0.6667 0.5797 1
# Crystal system   hexagonal
# Uncorrected energy   -10.247 eV per atom
# Theoretical density   14.153 g/cm3

***

# Ho4IrRu GGA-PBE relaxed
data_Ho4IrRu
_space_group_name_H-M_alt 'C 1 2/c 1'
_space_group_IT_number 15
_cell_length_a 8.9169
_cell_length_b 12.8455
_cell_length_c 6.2917
_cell_angle_alpha 90.00
_cell_angle_beta 124.54
_cell_angle_gamma 90.00
loop_
_space_group_symop_operation_xyz
'x,y,z'
'-x,-y,-z'
'-x,y,-z+1/2'
'x,-y,z+1/2'
'x+1/2,y+1/2,z'
'-x+1/2,-y+1/2,-z'
'-x+1/2,y+1/2,-z+1/2'
'x+1/2,-y+1/2,z+1/2'
loop_
_atom_site_label
_atom_site_fract_x
_atom_site_fract_y
_atom_site_fract_z
_atom_site_occupancy
Ho1 0.1301 0.1766 0.0967 1
Ho2 0.1955 0.4373 0.2653 1
Ir1 0.0000 0.3650 0.7500 1
Ru1 0.0000 0.9999 0.2500 1
# Crystal system   monoclinic
# Uncorrected energy   -6.645 eV per atom
# Distance to the lowest polymorph of the same formula   0.000 eV/atom
# Theoretical density   10.664 g/cm3

***

# CsBiBr GGA-PBE relaxed
data_CsBiBr
_space_group_name_H-M_alt 'C 1 m 1'
_space_group_IT_number 8
_cell_length_a 8.2413
_cell_length_b 4.7664
_cell_length_c 13.5479
_cell_angle_alpha 90.00
_cell_angle_beta 90.09
_cell_angle_gamma 90.00
loop_
_space_group_symop_operation_xyz
'x,y,z'
'x,-y,z'
'x+1/2,y+1/2,z'
'x+1/2,-y+1/2,z'
loop_
_atom_site_label
_atom_site_fract_x
_atom_site_fract_y
_atom_site_fract_z
_atom_site_occupancy
Cs1 0.0000 0.0000 0.0000 1
Cs2 0.1675 0.5000 0.6549 1
Bi1 0.0014 0.0000 0.4398 1
Bi2 0.3346 0.0000 0.3251 1
Br1 0.1669 0.5000 0.1633 1
Br2 0.3341 0.0000 0.8192 1
# Crystal system   monoclinic
# Uncorrected energy   -3.167 eV per atom
# Formation energy without anion corrections   -1.031 eV/atom
# Distance to the lowest polymorph of the same formula   0.000 eV/atom
# Theoretical density   5.264 g/cm3

***

# Pm2ErIn3 GGA-PBE relaxed
data_Pm2ErIn3
_space_group_name_H-M_alt 'P -3 m 1'
_space_group_IT_number 164
_space_group_name_Hall '-P 3 2"'
_cell_length_a 5.3848
_cell_length_b 5.3848
_cell_length_c 13.2263
_cell_angle_alpha 90.00
_cell_angle_beta 90.00
_cell_angle_gamma 120.00
loop_
_atom_site_label
_atom_site_fract_x
_atom_site_fract_y
_atom_site_fract_z
_atom_site_occupancy
Pm1 0.0000 0.0000 0.0000 1
Pm2 0.0000 0.0000 0.5000 1
Pm3 0.3333 0.6667 0.1702 1
Er1 0.3333 0.6667 0.6668 1
In1 0.0000 0.0000 0.2530 1
In2 0.3333 0.6667 0.4186 1
In3 0.3333 0.6667 0.9150 1
# Crystal system   trigonal
# Uncorrected energy   -4.187 eV per atom
# Distance to the lowest polymorph of the same formula   0.008 eV/atom
# Theoretical density   8.017 g/cm3

***

# ZrReSe2 GGA-PBE relaxed
data_ZrReSe2
_space_group_name_H-M_alt 'I m m 2'
_space_group_IT_number 44
_cell_length_a 3.2010
_cell_length_b 4.5542
_cell_length_c 9.9705
_cell_angle_alpha 90.00
_cell_angle_beta 90.00
_cell_angle_gamma 90.00
loop_
_space_group_symop_operation_xyz
'x,y,z'
'-x,-y,z'
'-x,y,z'
'x,-y,z'
'x+1/2,y+1/2,z+1/2'
'-x+1/2,-y+1/2,z+1/2'
'-x+1/2,y+1/2,z+1/2'
'x+1/2,-y+1/2,z+1/2'
loop_
_atom_site_label
_atom_site_fract_x
_atom_site_fract_y
_atom_site_fract_z
_atom_site_occupancy
Zr1 0.0000 0.0000 0.0000 1
Re1 0.0000 0.5000 0.7779 1
Se1 0.0000 0.0000 0.4701 1
Se2 0.0000 0.5000 0.2576 1
# Crystal system   orthorhombic
# Uncorrected energy   -7.209 eV per atom
# Formation energy without anion corrections   -0.217 eV/atom
# Distance to the lowest polymorph of the same formula   0.203 eV/atom
# Theoretical density   9.947 g/cm3